# Nb2CuSi2Sb

An optimized crystal structure of Nb2CuSi2Sb (PBE, the Open Quantum Materials Database).

abc: 4.0876 4.0876 6.4305
angles: 90.00 90.00 90.00
Positions (direct):
Nb 0.5000 0.0000 0.0103
Nb 0.0000 0.5000 0.0103
Si 0.0000 0.0000 0.7035
Si 0.5000 0.5000 0.2714
Cu 0.0000 0.0000 0.3259
Sb 0.5000 0.5000 0.6786

Theoretical density, g/cm3: 6.6
VASP energy, eV per atom: -6.457

***

# Cu2Pd3Au3

An optimized crystal structure of Cu2Pd3Au3 (PBE, the Open Quantum Materials Database).

abc: 3.9794 4.0692 8.1576
angles: 75.56 75.89 89.99
Positions (direct):
Pd 0.6355 0.1358 0.7289
Pd 0.5000 0.5000 0.0000
Pd 0.3645 0.8642 0.2711
Cu 0.2495 0.2495 0.5012
Cu 0.7505 0.7505 0.4988
Au 0.0000 0.0000 0.0000
Au 0.1352 0.6356 0.7295
Au 0.8648 0.3644 0.2705

Theoretical density, g/cm3: 13.9
Formation enthalpy at 0 K, eV/atom: -0.128

***

# PrHfSb

An optimized crystal structure of PrHfSb (PBE, the Open Quantum Materials Database).

abc: 4.9982 4.9982 4.9982
angles: 60.00 60.00 60.00
Positions (direct):
Pr 0.7500 0.7500 0.7500
Sb 0.0000 0.0000 0.0000
Hf 0.2500 0.2500 0.2500

Theoretical density, g/cm3: 8.3
VASP energy, eV per atom: -6.408

***

# Na3Tc2O6

An optimized crystal structure of Na3Tc2O6 (PBE, the Open Quantum Materials Database).

abc: 5.1337 5.1337 5.5020
angles: 97.06 97.06 117.88
Positions (direct):
O 0.4478 0.0706 0.8051
O 0.5522 0.9294 0.1949
O 0.2049 0.2049 0.2491
O 0.0706 0.4478 0.8051
O 0.7951 0.7951 0.7509
O 0.9294 0.5522 0.1949
Tc 0.1426 0.8574 0.0000
Tc 0.8574 0.1426 0.0000
Na 0.6666 0.3334 0.5000
Na 0.3334 0.6666 0.5000
Na 0.5000 0.5000 0.0000

Theoretical density, g/cm3: 4.8
VASP energy, eV per atom: -6.445